## Na4PdAu (GGA-PBE)

Data for a relaxed structure of Na4PdAu.

Output
**Total energy**: -2.466 eV/atom
**Fermi-level density of states**: 0.32 states/eV per atom
**Energy above the lowest structure with this stoichiometry**: 0.00 eV/f.u.
**Formation enthalpy at 0 K**: -0.17 eV per atom
**Calculated density**: 4.4 g/cm3

```
Na4PdAu
1.0
-5.0278 -1.2909 -4.9723
5.1332 -0.9908 -4.9333
0.1085 -4.4893 6.2514
Na Pd Au
8 2 2
Cartesian
2.6437 -2.7327 -5.3234
-0.6230 -3.2328 -7.0862
0.8143 -2.0480 -2.1277
-0.6003 -4.7230 -1.5265
0.8369 -3.5382 3.4320
-2.4297 -4.0383 1.6692
2.6663 -4.2229 0.2362
-2.4523 -2.5481 -3.8904
0.0806 -2.8151 0.6493
0.1333 -3.9559 -4.3035
0.0527 -1.1409 -4.9528
0.0000 0.0000 0.0000
```